(1)
Computed, not measured: a geometry-optimized FeTcPd6 structure at the PBE-GGA level of DFT.

Cell lengths 4.4907, 5.5208, 9.6142 Å; angles 90.00, 90.00, 90.00 degrees
Space group Amm2 (No. 38)
Unique sites:
Fe  0.0000  0.0000  0.0000 [2 per cell]
Tc  0.5000  0.0000  0.1667 [2 per cell]
Pd  0.0000  0.0000  0.4975 [2 per cell]
Pd  0.0000  0.2444  0.2448 [4 per cell]
Pd  0.5000  0.0000  0.6662 [2 per cell]
Pd  0.5000  0.2442  0.9176 [4 per cell]

Results
- crystal system = orthorhombic
- magnetic moment (μB per atom) = 0.3941
- energy (eV/atom) = -6.20
- formation energy from the elements (eV/f.u.) = 0.4

(2)
Computed, not measured: a geometry-optimized FeTcPd3 structure at the PBE-GGA level of DFT.

Cell lengths 4.7231, 4.7231, 4.7231 Å; angles 90.00, 90.00, 90.00 degrees
Space group Pm-3m (No. 221)
Unique sites:
Fe  0.0000  0.0000  0.0000 [1 per cell]
Tc  0.5000  0.5000  0.5000 [1 per cell]
Pd  0.0000  0.5000  0.5000 [3 per cell]

Results
- crystal system = cubic
- magnetic moment (μB per atom) = 0.0045
- energy (eV/atom) = -5.11
- formation energy from the elements (eV/f.u.) = 8.9

(3)
Computed, not measured: a geometry-optimized VFeTcPd structure at the PBE-GGA level of DFT.

Cell lengths 6.0623, 6.0623, 6.0623 Å; angles 90.00, 90.00, 90.00 degrees
Space group F-43m (No. 216)
Unique sites:
V  0.0000  0.0000  0.0000 [4 per cell]
Fe  0.0000  0.0000  0.5000 [4 per cell]
Tc  0.2500  0.2500  0.7500 [4 per cell]
Pd  0.2500  0.2500  0.2500 [4 per cell]

Results
- crystal system = cubic
- magnetic moment (μB per atom) = 0.9450
- energy (eV/atom) = -8.26
- formation energy from the elements (eV/f.u.) = 0.1

(4)
Computed, not measured: a geometry-optimized FeTe6Pd2 structure at the PBE-GGA level of DFT.

Cell lengths 6.1879, 6.1879, 12.4685 Å; angles 90.00, 90.00, 90.00 degrees
Space group P4_2/mnm (No. 136)
Unique sites:
Fe  0.0000  0.0000  0.0000 [2 per cell]
Te  0.1884  0.1884  0.1586 [8 per cell]
Te  0.2008  0.2008  0.5000 [4 per cell]
Pd  0.0000  0.0000  0.3332 [4 per cell]

Results
- crystal system = tetragonal
- magnetic moment (μB per atom) = 0.3034
- energy (eV/atom) = -4.25
- raw formation energy (eV/atom) = -0.060